(1)
Computed, not measured: a relaxed K2TcCl crystal at the PBE level of DFT.

a = 5.915 Å, b = 5.915 Å, c = 5.915 Å
α = 60.00°, β = 60.00°, γ = 60.00°
Sites, in units of the cell vectors:
K: 0.250 0.250 0.250
K: 0.750 0.750 0.750
Tc: 0.000 0.000 0.000
Cl: 0.500 0.500 0.500

Computed properties:
Relative energy among the computed polymorphs ... 0.343 eV per atom

***

(2)
Computed, not measured: a relaxed KTcCl3 crystal at the PBE level of DFT.

a = 5.021 Å, b = 5.021 Å, c = 5.021 Å
α = 90.00°, β = 90.00°, γ = 90.00°
Sites, in units of the cell vectors:
K: 0.000 0.000 0.000
Tc: 0.500 0.500 0.500
Cl: 0.000 0.500 0.500
Cl: 0.500 0.000 0.500
Cl: 0.500 0.500 0.000

Computed properties:
Relative energy among the computed polymorphs ... 0.307 eV per atom

***

(3)
Computed, not measured: a relaxed KTc2Cl8 crystal at the PBE level of DFT.

a = 5.263 Å, b = 8.230 Å, c = 8.255 Å
α = 71.33°, β = 89.26°, γ = 89.57°
Sites, in units of the cell vectors:
K: 0.000 0.000 0.000
Tc: 0.254 0.396 0.395
Tc: 0.746 0.604 0.605
Cl: 0.244 0.583 0.584
Cl: 0.261 0.155 0.638
Cl: 0.264 0.226 0.224
Cl: 0.266 0.641 0.156
Cl: 0.734 0.359 0.844
Cl: 0.736 0.774 0.776
Cl: 0.739 0.845 0.362
Cl: 0.756 0.417 0.416

***

(4)
Computed, not measured: a relaxed K2TcCl crystal at the PBE level of DFT.

a = 5.998 Å, b = 5.998 Å, c = 3.413 Å
α = 90.18°, β = 90.18°, γ = 98.44°
Sites, in units of the cell vectors:
K: 0.000 0.500 0.000
K: 0.500 0.000 0.000
Tc: 0.000 0.000 0.500
Cl: 0.500 0.500 0.500

Computed properties:
Relative energy among the computed polymorphs ... 0.194 eV per atom

***

(5)
Computed, not measured: a relaxed K2TcCl crystal at the PBE level of DFT.

a = 10.234 Å, b = 10.234 Å, c = 3.592 Å
α = 99.91°, β = 99.91°, γ = 19.78°
Sites, in units of the cell vectors:
K: 0.000 0.000 0.000
K: 0.212 0.212 0.714
Tc: 0.845 0.845 0.345
Cl: 0.587 0.587 0.585

Computed properties:
Relative energy among the computed polymorphs ... 0.073 eV per atom

***

(6)
Computed, not measured: a relaxed K2TcCl crystal at the PBE level of DFT.

a = 3.466 Å, b = 3.466 Å, c = 9.396 Å
α = 90.00°, β = 90.00°, γ = 90.00°
Sites, in units of the cell vectors:
K: 0.000 0.000 0.209
K: 0.000 0.000 0.791
Tc: 0.500 0.500 0.500
Cl: 0.500 0.500 0.000

Computed properties:
Relative energy among the computed polymorphs ... 0.000 eV per atom

***

(7)
Computed, not measured: a relaxed KTcCl3 crystal at the PBE level of DFT.

a = 8.381 Å, b = 8.381 Å, c = 9.147 Å
α = 95.72°, β = 95.72°, γ = 116.87°
Sites, in units of the cell vectors:
K: 0.121 0.783 0.000
K: 0.164 0.836 0.500
K: 0.783 0.121 0.500
K: 0.836 0.164 0.000
Tc: 0.296 0.396 0.367
Tc: 0.396 0.296 0.867
Tc: 0.470 0.566 0.235
Tc: 0.566 0.470 0.735
Cl: 0.026 0.432 0.324
Cl: 0.099 0.118 0.721
Cl: 0.118 0.099 0.221
Cl: 0.275 0.479 0.993
Cl: 0.377 0.584 0.610
Cl: 0.432 0.026 0.824
Cl: 0.436 0.840 0.267
Cl: 0.479 0.275 0.493
Cl: 0.584 0.377 0.110
Cl: 0.732 0.754 0.900
Cl: 0.754 0.732 0.400
Cl: 0.840 0.436 0.767

Computed properties:
Relative energy among the computed polymorphs ... 0.000 eV per atom

***

(8)
Computed, not measured: a relaxed K2TcCl crystal at the PBE level of DFT.

a = 3.558 Å, b = 3.558 Å, c = 10.851 Å
α = 90.00°, β = 90.00°, γ = 90.00°
Sites, in units of the cell vectors:
K: 0.000 0.000 0.000
K: 0.500 0.500 0.408
Tc: 0.000 0.000 0.647
Cl: 0.500 0.500 0.845

Computed properties:
Relative energy among the computed polymorphs ... 0.300 eV per atom

***

Summary of energy relative to the elements, uncorrected in kJ/mol of atoms
50; -81; -76; 36; 24; 17; -111; 46
(order as listed above)
Summary of magnetization in μB/atom
1.000; 0.609; 0.638; 0.888; 0.859; 0.797; 0.000; 0.952
(order as listed above)